Computed, not measured: a relaxed Fe2IrSe crystal at the GGA-PBE level of DFT.

Calculated values
Formation energy from raw total energies ... 0.33 eV/atom
Total moment ... 11.7 μB/cell
N(E_F) ... 4.9 states/eV/f.u.

Cell: 3.771 3.771 7.897 Å, 90.00 90.00 90.00°
Fractional positions:
Fe (0.000, 0.000, 0.000)
Fe (0.000, 0.500, 0.250)
Fe (0.500, 0.000, 0.750)
Fe (0.500, 0.500, 0.500)
Ir (0.000, 0.500, 0.750)
Ir (0.500, 0.000, 0.250)
Se (0.000, 0.000, 0.500)
Se (0.500, 0.500, 0.000)